# PBE-GGA Na5ReCl2O4, relaxed
data_Na5ReCl2O4
_chemical_formula_sum 'Na10 Re2 Cl4 O8'
_space_group_name_H-M_alt 'A m m 2'
_space_group_IT_number 38
_space_group_name_Hall 'A 2 -2'
_cell_length_a 7.2625
_cell_length_b 9.6738
_cell_length_c 6.0904
_cell_angle_alpha 90.00
_cell_angle_beta 90.00
_cell_angle_gamma 90.00
loop_
_atom_site_label
_atom_site_fract_x
_atom_site_fract_y
_atom_site_fract_z
Na1 0.0000 0.0000 0.0000
Na2 0.2871 0.1800 0.3830
Re1 0.5000 0.0000 0.9045
Cl1 0.0000 0.1840 0.6613
O1 0.3143 0.0000 0.1221
O2 0.5000 0.1544 0.7233
# Raw formation energy   -1.567 eV/atom

***

# PBE-GGA Na2RuCl2O2, relaxed
data_Na2RuCl2O2
_chemical_formula_sum 'Na4 Ru2 Cl4 O4'
_space_group_name_H-M_alt 'I 4/m m m'
_space_group_IT_number 139
_space_group_name_Hall '-I 4 2'
_cell_length_a 3.9188
_cell_length_b 3.9188
_cell_length_c 15.5704
_cell_angle_alpha 90.00
_cell_angle_beta 90.00
_cell_angle_gamma 90.00
loop_
_atom_site_label
_atom_site_fract_x
_atom_site_fract_y
_atom_site_fract_z
Na1 0.0000 0.0000 0.1092
Ru1 0.0000 0.0000 0.5000
Cl1 0.0000 0.0000 0.3431
O1 0.0000 0.5000 0.0000
# Raw formation energy   -1.269 eV/atom

***

# PBE-GGA Na6SCl2O, relaxed
data_Na6SCl2O
_chemical_formula_sum 'Na12 S2 Cl4 O2'
_space_group_name_H-M_alt 'P m m n'
_space_group_IT_number 59
_cell_length_a 6.6338
_cell_length_b 9.6916
_cell_length_c 7.3638
_cell_angle_alpha 90.00
_cell_angle_beta 90.00
_cell_angle_gamma 90.00
loop_
_space_group_symop_operation_xyz
'x,y,z'
'-x,-y,-z'
'-x+1/2,-y+1/2,z'
'x+1/2,y+1/2,-z'
'x+1/2,-y,-z'
'-x+1/2,y,z'
'-x,y+1/2,-z'
'x,-y+1/2,z'
loop_
_atom_site_label
_atom_site_fract_x
_atom_site_fract_y
_atom_site_fract_z
Na1 0.0096 0.2500 0.0198
Na2 0.0132 0.7500 0.4027
Na3 0.2500 0.0154 0.7978
S1 0.2500 0.7500 0.6941
Cl1 0.2500 0.5430 0.1750
O1 0.2500 0.2500 0.7922
# Raw formation energy   -1.340 eV/atom

***

What did the second record say?
# PBE-GGA Na2RuCl2O2, relaxed
data_Na2RuCl2O2
_chemical_formula_sum 'Na4 Ru2 Cl4 O4'
_space_group_name_H-M_alt 'I 4/m m m'
_space_group_IT_number 139
_space_group_name_Hall '-I 4 2'
_cell_length_a 3.9188
_cell_length_b 3.9188
_cell_length_c 15.5704
_cell_angle_alpha 90.00
_cell_angle_beta 90.00
_cell_angle_gamma 90.00
loop_
_atom_site_label
_atom_site_fract_x
_atom_site_fract_y
_atom_site_fract_z
Na1 0.0000 0.0000 0.1092
Ru1 0.0000 0.0000 0.5000
Cl1 0.0000 0.0000 0.3431
O1 0.0000 0.5000 0.0000
# Raw formation energy   -1.269 eV/atom